PBEsol CsEr2Cu3S5, relaxed; raw formation energy = -1.288 eV/atom
1.0
-3.117 -1.348 1.863
4.891 1.268 5.073
-5.633 15.262 1.616
Cs Er Cu S
2 4 6 10
direct
0.064 0.128 0.250 Cs
0.936 0.872 0.750 Cs
0.807 0.615 0.092 Er
0.807 0.615 0.408 Er
0.193 0.385 0.908 Er
0.193 0.385 0.592 Er
0.415 0.830 0.965 Cu
0.415 0.830 0.535 Cu
0.585 0.170 0.465 Cu
0.653 0.307 0.750 Cu
0.347 0.693 0.250 Cu
0.585 0.170 0.035 Cu
0.169 0.338 0.431 S
0.561 0.123 0.610 S
0.561 0.123 0.890 S
0.439 0.877 0.110 S
0.766 0.533 0.250 S
0.234 0.467 0.750 S
0.439 0.877 0.390 S
0.831 0.662 0.569 S
0.831 0.662 0.931 S
0.169 0.338 0.069 S



PBEsol Te2RuAuI, relaxed; raw formation energy = 0.700 eV/atom; DOS at the Fermi energy = 5.1 states/eV/f.u.
1.0
-1.812 -4.125 2.173
-0.075 -2.305 -4.439
5.133 -1.806 0.851
I Ru Te Au
1 1 2 1
direct
0.000 0.000 0.500 I
0.000 0.000 0.000 Ru
0.000 0.500 0.000 Te
0.500 0.000 0.000 Te
0.500 0.500 0.500 Au



PBEsol AgRuAu2, relaxed; total energy = -0.36578 Ry/atom; DOS at the Fermi energy = 3.4 states/eV/f.u.
1.0
-1.546 -0.338 -2.233
-1.899 -3.108 1.785
-3.914 3.631 2.159
Ag Au Ru
1 2 1
direct
0.500 0.500 0.746 Ag
0.000 0.000 0.994 Au
0.500 0.500 0.265 Au
0.000 0.000 0.494 Ru